Density functional theory data (PBE-GGA) for CuMo2W after structural relaxation. Values from VASP.

Cell and atoms, written as Quantum ESPRESSO input:
```
&SYSTEM
  ibrav = 0, nat = 4, ntyp = 3
/
ATOMIC_SPECIES
Cu 63.55 Cu.upf
Mo 95.94 Mo.upf
W 183.84 W.upf
ATOMIC_POSITIONS angstrom
Cu 0.0000 0.0000 0.0000
Mo 1.6373 0.0000 2.2289
Mo 0.0000 2.1618 2.0755
W 0.0000 0.0000 4.3044
CELL_PARAMETERS angstrom
-1.6373 2.1618 4.3044
1.6373 -2.1618 4.3044
1.6373 2.1618 -4.3044
```

Computed properties:
- Polymorph energy (0 for the lowest one): 155 meV per atom
- Total magnetic moment: 0.00 Bohr magnetons per cell
- E_form: 291 meV/atom


Density functional theory data (PBE-GGA) for CuMoW2 after structural relaxation. Values from VASP.

Cell and atoms, written as Quantum ESPRESSO input:
```
&SYSTEM
  ibrav = 0, nat = 4, ntyp = 3
/
ATOMIC_SPECIES
Cu 63.55 Cu.upf
Mo 95.94 Mo.upf
W 183.84 W.upf
ATOMIC_POSITIONS angstrom
Cu 0.0000 0.0000 0.0000
Mo 0.0000 0.0000 2.8651
W 1.6241 1.6241 1.3699
W 1.6241 1.6241 4.3603
CELL_PARAMETERS angstrom
3.2482 0.0000 0.0000
0.0000 3.2482 0.0000
0.0000 0.0000 5.7302
```

Computed properties:
- Polymorph energy (0 for the lowest one): 123 meV per atom
- Total magnetic moment: 0.00 Bohr magnetons per cell
- E_form: 289 meV/atom


Density functional theory data (PBE-GGA) for CuMo4W after structural relaxation. Values from VASP.

Cell and atoms, written as Quantum ESPRESSO input:
```
&SYSTEM
  ibrav = 0, nat = 6, ntyp = 3
/
ATOMIC_SPECIES
Cu 63.55 Cu.upf
Mo 95.94 Mo.upf
W 183.84 W.upf
ATOMIC_POSITIONS angstrom
Cu 0.0000 0.0000 0.0000
Mo 4.5719 2.7346 2.7346
Mo 2.7346 4.5719 2.7346
Mo 2.7346 2.7346 4.5719
Mo 4.5719 4.5719 4.5719
W 1.8266 1.8266 1.8266
CELL_PARAMETERS angstrom
0.0000 3.6532 3.6532
3.6532 0.0000 3.6532
3.6532 3.6532 0.0000
```

Computed properties:
- Total magnetic moment: 0.00 Bohr magnetons per cell
- E_form: 450 meV/atom


Density functional theory data (PBE-GGA) for CuMoW2 after structural relaxation. Values from VASP.

Cell and atoms, written as Quantum ESPRESSO input:
```
&SYSTEM
  ibrav = 0, nat = 4, ntyp = 3
/
ATOMIC_SPECIES
Cu 63.55 Cu.upf
Mo 95.94 Mo.upf
W 183.84 W.upf
ATOMIC_POSITIONS angstrom
Cu 0.0000 0.0000 0.0000
Mo 0.0000 0.0000 4.2648
W 1.6511 0.0000 2.2029
W 0.0000 2.1748 2.0619
CELL_PARAMETERS angstrom
-1.6511 2.1748 4.2648
1.6511 -2.1748 4.2648
1.6511 2.1748 -4.2648
```

Computed properties:
- Polymorph energy (0 for the lowest one): 128 meV per atom
- Total magnetic moment: 0.00 Bohr magnetons per cell
- E_form: 294 meV/atom


Repeat the fourth record exactly.
Density functional theory data (PBE-GGA) for CuMoW2 after structural relaxation. Values from VASP.

Cell and atoms, written as Quantum ESPRESSO input:
```
&SYSTEM
  ibrav = 0, nat = 4, ntyp = 3
/
ATOMIC_SPECIES
Cu 63.55 Cu.upf
Mo 95.94 Mo.upf
W 183.84 W.upf
ATOMIC_POSITIONS angstrom
Cu 0.0000 0.0000 0.0000
Mo 0.0000 0.0000 4.2648
W 1.6511 0.0000 2.2029
W 0.0000 2.1748 2.0619
CELL_PARAMETERS angstrom
-1.6511 2.1748 4.2648
1.6511 -2.1748 4.2648
1.6511 2.1748 -4.2648
```

Computed properties:
- Polymorph energy (0 for the lowest one): 128 meV per atom
- Total magnetic moment: 0.00 Bohr magnetons per cell
- E_form: 294 meV/atom


What is the total magnetic moment in the fourth record?
0.00 Bohr magnetons per cell